CdBi3N | PBE-GGA | optimized geometry

a = 5.1058 Å, b = 6.6072 Å, c = 8.4629 Å
α = 98.56°, β = 95.67°, γ = 100.74°
Positions (direct):
1 Cd 0.1209 0.1721 0.4236
2 Cd 0.8791 0.8279 0.5764
3 Bi 0.1823 0.3350 0.9349
4 Bi 0.3521 0.6337 0.3651
5 Bi 0.4101 0.8969 0.7864
6 Bi 0.5899 0.1031 0.2136
7 Bi 0.6479 0.3663 0.6349
8 Bi 0.8177 0.6650 0.0651
9 N 0.4924 0.5702 0.8421
10 N 0.5076 0.4298 0.1579

As for the space group: No. 2. The density is 9.098 g cm⁻³. For the total magnetization, the calculation gives 0.00 μB per cell. Its density of states at the Fermi level is 4.72 states/eV per cell. Its energy relative to the elements, uncorrected is 360 meV per atom.

=====

CdBiN2 | PBE-GGA | optimized geometry

a = 4.3748 Å, b = 4.3748 Å, c = 4.3748 Å
α = 60.00°, β = 60.00°, γ = 60.00°
Positions (direct):
1 Cd 0.0000 0.0000 0.0000
2 Bi 0.5000 0.5000 0.5000
3 N 0.2500 0.2500 0.2500
4 N 0.7500 0.7500 0.7500

As for the space group: No. 225. The density is 9.800 g cm⁻³. For the total magnetization, the calculation gives 1.00 μB per cell. Its density of states at the Fermi level is 2.05 states/eV per cell. Its energy relative to the elements, uncorrected is 1346 meV per atom.

=====

CdBi3N | PBE-GGA | optimized geometry

a = 5.6041 Å, b = 5.6041 Å, c = 5.6041 Å
α = 90.00°, β = 90.00°, γ = 90.00°
Positions (direct):
1 Cd 0.0000 0.0000 0.0000
2 Bi 0.0000 0.0000 0.5000
3 Bi 0.0000 0.5000 0.0000
4 Bi 0.5000 0.0000 0.0000
5 N 0.5000 0.5000 0.5000

As for the space group: No. 221. The density is 7.108 g cm⁻³. For the total magnetization, the calculation gives 0.00 μB per cell. Its density of states at the Fermi level is 9.68 states/eV per cell. Its energy relative to the elements, uncorrected is 1841 meV per atom.

=====

CdBiN2 | PBE-GGA | optimized geometry

a = 3.3237 Å, b = 5.0892 Å, c = 9.1893 Å
α = 103.36°, β = 92.12°, γ = 90.16°
Positions (direct):
1 Cd 0.0000 0.0000 0.0000
2 Bi 0.5067 0.5300 0.0718
3 N 0.9345 0.0362 0.5096
4 N 0.9470 0.9402 0.6070

As for the space group: No. 1. The density is 3.840 g cm⁻³. For the total magnetization, the calculation gives 0.00 μB per cell. Its density of states at the Fermi level is 0.44 states/eV per cell. Its energy relative to the elements, uncorrected is 189 meV per atom.

=====

CdBi2N | PBE-GGA | optimized geometry

a = 5.0706 Å, b = 5.0706 Å, c = 5.0706 Å
α = 60.00°, β = 60.00°, γ = 60.00°
Positions (direct):
1 Cd 0.0000 0.0000 0.0000
2 Bi 0.2500 0.2500 0.2500
3 Bi 0.7500 0.7500 0.7500
4 N 0.5000 0.5000 0.5000

As for the space group: No. 225. The density is 9.806 g cm⁻³. For the total magnetization, the calculation gives 1.56 μB per cell. Its density of states at the Fermi level is 2.25 states/eV per cell. Its energy relative to the elements, uncorrected is 1056 meV per atom.

=====

CdBiN2 | PBE-GGA | optimized geometry

a = 6.4799 Å, b = 6.4799 Å, c = 6.4799 Å
α = 132.01°, β = 132.01°, γ = 70.22°
Positions (direct):
1 Cd 0.0000 0.0000 0.0000
2 Cd 0.7500 0.2500 0.5000
3 Bi 0.2500 0.7500 0.5000
4 Bi 0.5000 0.5000 0.0000
5 N 0.1348 0.6250 0.0098
6 N 0.3750 0.3848 0.5098
7 N 0.6152 0.1250 0.9902
8 N 0.8750 0.8652 0.4902

As for the space group: No. 122. The density is 7.881 g cm⁻³. For the total magnetization, the calculation gives 0.00 μB per cell. Its density of states at the Fermi level is 3.42 states/eV per cell. Its energy relative to the elements, uncorrected is 700 meV per atom.

=====

Calculated energy (eV per atom), listed in the same order as above: -3.816; -4.016; -2.336; -5.172; -3.195; -4.661